Material: Cd3NiF
Method: DFT, GGA+U
State: optimized geometry

Values from the calculation:
uncorrected energy	-1.221	eV per atom
size of the total moment	0.00	μB per formula unit

```
data_Cd3NiF
_chemical_formula_sum 'Cd3 Ni1 F1'
_cell_length_a 4.614
_cell_length_b 4.614
_cell_length_c 4.614
_cell_angle_alpha 90.00
_cell_angle_beta 90.00
_cell_angle_gamma 90.00
_space_group_name_H-M_alt 'P m -3 m'
_space_group_IT_number 221
_space_group_name_Hall '-P 4 2 3'
loop_
_atom_site_label
_atom_site_type_symbol
_atom_site_fract_x
_atom_site_fract_y
_atom_site_fract_z
Cd1 Cd 0.000 0.000 0.500
Ni1 Ni 0.500 0.500 0.500
F1 F 0.000 0.000 0.000
```